Density functional theory data (GGA+U) for crystalline LiFeF3 at its relaxed geometry.

## Properties
Energy above the most stable polymorph in this dataset in eV per atom: 0.0523
Energy in eV per atom: -5.2289

Cell lengths 3.2295, 10.2486, 7.2649 Å; angles 90.00, 90.00, 90.00 degrees
Space group Amm2 (No. 38)
Unique sites:
Li: 0.0000 0.0000 0.0000 x2
Li: 0.0000 0.0000 0.4535 x2
Fe: 0.5000 0.2471 0.7057 x4
F: 0.0000 0.1261 0.2602 x4
F: 0.0000 0.1309 0.6339 x4
F: 0.5000 0.1410 0.9565 x4